## Sm2ScBePt6 (PBE)

Data for a relaxed Sm2ScBePt6 crystal.

a = 5.7891 Å, b = 7.5160 Å, c = 7.5145 Å
α = 45.32°, β = 67.34°, γ = 90.00°
Fractional positions:
Sm: 0.7209 0.2787 0.5582
Sm: 0.2791 0.7213 0.4418
Sc: 0.0000 0.0000 0.0000
Be: 0.5000 0.5000 0.0000
Pt: 0.2622 0.2222 0.4756
Pt: 0.7769 0.7374 0.9609
Pt: 0.2621 0.7373 0.9609
Pt: 0.7379 0.2627 0.0391
Pt: 0.2231 0.2626 0.0391
Pt: 0.7378 0.7778 0.5244

The density of states at the Fermi level is 3.83 states/eV/f.u. The formation energy comes out at -855 meV/atom. The space-group type is No. 166. Its volume is 19.5 A^3/atom.

---

## SmScBe2Pt5 (PBE)

Data for a relaxed SmScBe2Pt5 crystal.

a = 4.0449 Å, b = 4.0449 Å, c = 9.9706 Å
α = 90.00°, β = 90.00°, γ = 90.00°
Fractional positions:
Sm: 0.0000 0.0000 0.5000
Sc: 0.0000 0.0000 0.0000
Be: 0.5000 0.5000 0.2799
Be: 0.5000 0.5000 0.7201
Pt: 0.0000 0.5000 0.1895
Pt: 0.5000 0.0000 0.1895
Pt: 0.0000 0.5000 0.8105
Pt: 0.5000 0.0000 0.8105
Pt: 0.5000 0.5000 0.5000

The density of states at the Fermi level is 2.71 states/eV/f.u. The formation energy comes out at -765 meV/atom. The space-group type is No. 123. Its volume is 18.1 A^3/atom.

---

## Sc2BeSnPt (PBE)

Data for a relaxed Sc2BeSnPt crystal.

a = 4.7836 Å, b = 4.2068 Å, c = 4.7836 Å
α = 90.00°, β = 90.00°, γ = 90.00°
Fractional positions:
Sc: 0.0000 0.0000 0.5000
Sc: 0.5000 0.0000 0.0000
Be: 0.0000 0.0000 0.0000
Sn: 0.5000 0.5000 0.5000
Pt: 0.0000 0.5000 0.0000

The density of states at the Fermi level is 5.80 states/eV/f.u. The formation energy comes out at -389 meV/atom. The space-group type is No. 123. Its volume is 19.3 A^3/atom.

---

## SrScBePt2 (PBE)

Data for a relaxed SrScBePt2 crystal.

a = 5.2224 Å, b = 4.7103 Å, c = 5.2224 Å
α = 90.00°, β = 90.00°, γ = 90.00°
Fractional positions:
Sc: 0.5000 0.5000 0.5000
Sr: 0.0000 0.0000 0.0000
Pt: 0.0000 0.0000 0.5000
Pt: 0.5000 0.0000 0.0000
Be: 0.0000 0.5000 0.0000

The density of states at the Fermi level is 3.24 states/eV/f.u. The formation energy comes out at 1145 meV/atom. The value obtained for the energy above the most stable polymorph in this dataset is 1249 meV/atom. The space-group type is No. 123. Its volume is 25.7 A^3/atom.

---

## SrScBePt2 (PBE)

Data for a relaxed SrScBePt2 crystal.

a = 4.4474 Å, b = 4.9076 Å, c = 4.4474 Å
α = 90.00°, β = 90.00°, γ = 90.00°
Fractional positions:
Sc: 0.5000 0.5000 0.5000
Sr: 0.0000 0.5000 0.0000
Pt: 0.0000 0.0000 0.5000
Pt: 0.5000 0.0000 0.0000
Be: 0.0000 0.0000 0.0000

The density of states at the Fermi level is 4.50 states/eV/f.u. The formation energy comes out at -104 meV/atom. The value obtained for the energy above the most stable polymorph in this dataset is 0 meV/atom. The space-group type is No. 123. Its volume is 19.4 A^3/atom.

---

## Tb2ScBe3Pt4 (PBE)

Data for a relaxed Tb2ScBe3Pt4 crystal.

a = 4.0070 Å, b = 4.0070 Å, c = 10.5684 Å
α = 90.00°, β = 90.00°, γ = 90.00°
Fractional positions:
Tb: 0.5000 0.0000 0.2291
Tb: 0.0000 0.5000 0.7709
Sc: 0.5000 0.5000 0.5000
Be: 0.0000 0.0000 0.5000
Be: 0.5000 0.0000 0.8866
Be: 0.0000 0.5000 0.1134
Pt: 0.5000 0.5000 0.0000
Pt: 0.0000 0.0000 0.0000
Pt: 0.5000 0.0000 0.6617
Pt: 0.0000 0.5000 0.3383

The density of states at the Fermi level is 4.34 states/eV/f.u. The formation energy comes out at -929 meV/atom. The space-group type is No. 115. Its volume is 17.0 A^3/atom.

---

## TbScBe2Pt5 (PBE)

Data for a relaxed TbScBe2Pt5 crystal.

a = 4.0571 Å, b = 4.0571 Å, c = 8.6676 Å
α = 90.00°, β = 90.00°, γ = 90.00°
Fractional positions:
Tb: 0.0000 0.0000 0.5000
Sc: 0.0000 0.0000 0.0000
Be: 0.5000 0.5000 0.1299
Be: 0.5000 0.5000 0.8701
Pt: 0.0000 0.5000 0.2465
Pt: 0.5000 0.0000 0.2465
Pt: 0.0000 0.5000 0.7535
Pt: 0.5000 0.0000 0.7535
Pt: 0.5000 0.5000 0.5000

The density of states at the Fermi level is 2.54 states/eV/f.u. The formation energy comes out at -923 meV/atom. The space-group type is No. 123. Its volume is 15.9 A^3/atom.

---

## ScBe2TePt (PBE)

Data for a relaxed ScBe2TePt crystal.

a = 4.2367 Å, b = 5.6276 Å, c = 4.2367 Å
α = 90.00°, β = 90.00°, γ = 90.00°
Fractional positions:
Sc: 0.5000 0.5000 0.5000
Be: 0.0000 0.0000 0.5000
Be: 0.5000 0.0000 0.0000
Te: 0.0000 0.5000 0.0000
Pt: 0.0000 0.0000 0.0000

The density of states at the Fermi level is 2.77 states/eV/f.u. The value obtained for the uncorrected formation energy is -0.05 eV per atom. The space-group type is No. 123. Its volume is 20.2 A^3/atom.

---

## ScBeTe2Pt (PBE)

Data for a relaxed ScBeTe2Pt crystal.

a = 5.4168 Å, b = 4.1413 Å, c = 5.4168 Å
α = 90.00°, β = 90.00°, γ = 90.00°
Fractional positions:
Sc: 0.5000 0.5000 0.5000
Be: 0.0000 0.5000 0.0000
Te: 0.0000 0.0000 0.5000
Te: 0.5000 0.0000 0.0000
Pt: 0.0000 0.0000 0.0000

The density of states at the Fermi level is 2.41 states/eV/f.u. The value obtained for the uncorrected formation energy is -0.10 eV per atom. The space-group type is No. 123. Its volume is 24.3 A^3/atom.

---

## Sc2TiBe2Pt5 (PBE)

Data for a relaxed Sc2TiBe2Pt5 crystal.

a = 3.5080 Å, b = 9.2534 Å, c = 9.2534 Å
α = 90.00°, β = 90.00°, γ = 90.00°
Fractional positions:
Sc: 0.0000 0.6755 0.1755
Sc: 0.0000 0.3245 0.8245
Sc: 0.0000 0.1755 0.3245
Sc: 0.0000 0.8245 0.6755
Ti: 0.0000 0.0000 0.0000
Ti: 0.0000 0.5000 0.5000
Be: 0.0000 0.1203 0.6203
Be: 0.0000 0.8797 0.3797
Be: 0.0000 0.6203 0.8797
Be: 0.0000 0.3797 0.1203
Pt: 0.5000 0.2099 0.0707
Pt: 0.5000 0.7901 0.9293
Pt: 0.5000 0.0707 0.7901
Pt: 0.5000 0.7099 0.4293
Pt: 0.5000 0.9293 0.2099
Pt: 0.5000 0.2901 0.5707
Pt: 0.5000 0.5707 0.7099
Pt: 0.5000 0.4293 0.2901
Pt: 0.5000 0.5000 0.0000
Pt: 0.5000 0.0000 0.5000

The density of states at the Fermi level is 2.26 states/eV/f.u. The formation energy comes out at -1052 meV/atom. The space-group type is No. 127. Its volume is 15.0 A^3/atom.

---

## ScTi2BePt (PBE)

Data for a relaxed ScTi2BePt crystal.

a = 4.2723 Å, b = 4.7280 Å, c = 4.2723 Å
α = 90.00°, β = 90.00°, γ = 90.00°
Fractional positions:
Sc: 0.0000 0.5000 0.0000
Be: 0.0000 0.0000 0.0000
Pt: 0.5000 0.5000 0.5000
Ti: 0.0000 0.0000 0.5000
Ti: 0.5000 0.0000 0.0000

The density of states at the Fermi level is 5.69 states/eV/f.u. The formation energy comes out at 117 meV/atom. The space-group type is No. 123. Its volume is 17.3 A^3/atom.

---

## ScBePtW2 (PBE)

Data for a relaxed ScBePtW2 crystal.

a = 4.8995 Å, b = 4.1311 Å, c = 4.8995 Å
α = 90.00°, β = 90.00°, γ = 90.00°
Fractional positions:
Sc: 0.5000 0.5000 0.5000
Be: 0.0000 0.5000 0.0000
W: 0.0000 0.0000 0.5000
W: 0.5000 0.0000 0.0000
Pt: 0.0000 0.0000 0.0000

The density of states at the Fermi level is 5.37 states/eV/f.u. The formation energy comes out at 1081 meV/atom. The space-group type is No. 123. Its volume is 19.8 A^3/atom.

---

## Y2ScBe3Pt4 (PBE)

Data for a relaxed Y2ScBe3Pt4 crystal.

a = 4.0046 Å, b = 4.0046 Å, c = 10.5581 Å
α = 90.00°, β = 90.00°, γ = 90.00°
Fractional positions:
Y: 0.5000 0.0000 0.2289
Y: 0.0000 0.5000 0.7711
Sc: 0.5000 0.5000 0.5000
Be: 0.0000 0.0000 0.5000
Be: 0.5000 0.0000 0.8864
Be: 0.0000 0.5000 0.1136
Pt: 0.5000 0.5000 0.0000
Pt: 0.0000 0.0000 0.0000
Pt: 0.5000 0.0000 0.6614
Pt: 0.0000 0.5000 0.3386

The density of states at the Fermi level is 4.42 states/eV/f.u. The formation energy comes out at -930 meV/atom. The space-group type is No. 115. Its volume is 16.9 A^3/atom.

---

## Sc2Be2ZnPt5 (PBE)

Data for a relaxed Sc2Be2ZnPt5 crystal.

a = 3.4359 Å, b = 9.2555 Å, c = 9.2555 Å
α = 90.00°, β = 90.00°, γ = 90.00°
Fractional positions:
Sc: 0.0000 0.6757 0.1757
Sc: 0.0000 0.3243 0.8243
Sc: 0.0000 0.1757 0.3243
Sc: 0.0000 0.8243 0.6757
Be: 0.0000 0.1225 0.6225
Be: 0.0000 0.8775 0.3775
Be: 0.0000 0.6225 0.8775
Be: 0.0000 0.3775 0.1225
Zn: 0.0000 0.0000 0.0000
Zn: 0.0000 0.5000 0.5000
Pt: 0.5000 0.2102 0.0706
Pt: 0.5000 0.7898 0.9294
Pt: 0.5000 0.0706 0.7898
Pt: 0.5000 0.7102 0.4294
Pt: 0.5000 0.9294 0.2102
Pt: 0.5000 0.2898 0.5706
Pt: 0.5000 0.5706 0.7102
Pt: 0.5000 0.4294 0.2898
Pt: 0.5000 0.5000 0.0000
Pt: 0.5000 0.0000 0.5000

The density of states at the Fermi level is 3.26 states/eV/f.u. The formation energy comes out at -981 meV/atom. The space-group type is No. 127. Its volume is 14.7 A^3/atom.

---

## Sc2Be4ZnPt3 (PBE)

Data for a relaxed Sc2Be4ZnPt3 crystal.

a = 3.8209 Å, b = 3.8209 Å, c = 9.7630 Å
α = 90.00°, β = 90.00°, γ = 90.00°
Fractional positions:
Sc: 0.5000 0.0000 0.2451
Sc: 0.0000 0.5000 0.7549
Be: 0.5000 0.5000 0.0000
Be: 0.0000 0.0000 0.0000
Be: 0.5000 0.0000 0.6373
Be: 0.0000 0.5000 0.3627
Zn: 0.5000 0.5000 0.5000
Pt: 0.0000 0.0000 0.5000
Pt: 0.5000 0.0000 0.8679
Pt: 0.0000 0.5000 0.1321

The density of states at the Fermi level is 6.05 states/eV/f.u. The formation energy comes out at -680 meV/atom. The space-group type is No. 115. Its volume is 14.3 A^3/atom.

---

## ZrScBePt (PBE)

Data for a relaxed ZrScBePt crystal.

a = 4.6350 Å, b = 4.6350 Å, c = 4.6350 Å
α = 60.00°, β = 60.00°, γ = 60.00°
Fractional positions:
Sc: 0.5000 0.5000 0.5000
Be: 0.7500 0.7500 0.7500
Zr: 0.0000 0.0000 0.0000
Pt: 0.2500 0.2500 0.2500

The density of states at the Fermi level is 3.63 states/eV/f.u. The formation energy comes out at -523 meV/atom. The space-group type is No. 216. Its volume is 17.6 A^3/atom.

---

## BePtSe2 (PBE)

Data for a relaxed BePtSe2 crystal.

a = 4.7792 Å, b = 4.7793 Å, c = 2.8897 Å
α = 90.00°, β = 90.00°, γ = 90.02°
Fractional positions:
Be: 0.5000 0.0000 0.5000
Se: 0.0000 0.0000 0.0000
Se: 0.5000 0.5000 0.0000
Pt: 0.0000 0.5000 0.5000

The density of states at the Fermi level is 1.52 states/eV/f.u. The value obtained for the uncorrected formation energy is 0.38 eV per atom. The space-group type is No. 123. Its volume is 16.5 A^3/atom.

---

## BePtSe2 (PBE)

Data for a relaxed BePtSe2 crystal.

a = 3.4419 Å, b = 4.2161 Å, c = 6.2037 Å
α = 90.57°, β = 90.00°, γ = 90.00°
Fractional positions:
Be: 0.0000 0.3518 0.6052
Se: 0.0000 0.0231 0.8777
Se: 0.5000 0.3443 0.3766
Pt: 0.5000 0.7809 0.6405

The density of states at the Fermi level is 2.47 states/eV/f.u. The value obtained for the uncorrected formation energy is -0.25 eV per atom. The space-group type is No. 6. Its volume is 22.5 A^3/atom.

---

## Be2Pt2Se (PBE)

Data for a relaxed Be2Pt2Se crystal.

a = 7.0293 Å, b = 7.0293 Å, c = 2.7521 Å
α = 90.00°, β = 90.00°, γ = 90.00°
Fractional positions:
Be: 0.1347 0.6347 0.5000
Be: 0.6347 0.8653 0.5000
Be: 0.8653 0.3653 0.5000
Be: 0.3653 0.1347 0.5000
Se: 0.0000 0.0000 0.0000
Se: 0.5000 0.5000 0.0000
Pt: 0.3477 0.8477 0.0000
Pt: 0.8477 0.6523 0.0000
Pt: 0.6523 0.1523 0.0000
Pt: 0.1523 0.3477 0.0000

The density of states at the Fermi level is 1.46 states/eV/f.u. The value obtained for the uncorrected formation energy is -0.35 eV per atom. The value obtained for the energy above the most stable polymorph in this dataset is 0 meV/atom. The space-group type is No. 127. Its volume is 13.6 A^3/atom.

---

## BePtSe3 (PBE)

Data for a relaxed BePtSe3 crystal.

a = 4.9643 Å, b = 4.9643 Å, c = 4.9643 Å
α = 90.00°, β = 90.00°, γ = 90.00°
Fractional positions:
Be: 0.5000 0.5000 0.5000
Se: 0.0000 0.5000 0.0000
Se: 0.0000 0.0000 0.5000
Se: 0.5000 0.0000 0.0000
Pt: 0.0000 0.0000 0.0000

The density of states at the Fermi level is 6.24 states/eV/f.u. The value obtained for the uncorrected formation energy is 0.88 eV per atom. The value obtained for the energy above the most stable polymorph in this dataset is 304 meV/atom. The space-group type is No. 221. Its volume is 24.5 A^3/atom.

---

## BePtSe2 (PBE)

Data for a relaxed BePtSe2 crystal.

a = 6.7438 Å, b = 6.7438 Å, c = 6.7438 Å
α = 147.42°, β = 149.42°, γ = 45.28°
Fractional positions:
Be: 0.2500 0.7500 0.5000
Se: 0.8815 0.8815 0.0000
Se: 0.6185 0.6185 0.0000
Pt: 0.7500 0.2500 0.5000

The density of states at the Fermi level is 1.18 states/eV/f.u. The value obtained for the uncorrected formation energy is -0.36 eV per atom. The space-group type is No. 71. Its volume is 20.9 A^3/atom.

---

## BePtSe2 (PBE)

Data for a relaxed BePtSe2 crystal.

a = 4.9483 Å, b = 4.9483 Å, c = 4.9483 Å
α = 131.83°, β = 131.83°, γ = 70.49°
Fractional positions:
Be: 0.5000 0.5000 0.0000
Se: 0.0000 0.0000 0.0000
Se: 0.2500 0.7500 0.5000
Pt: 0.7500 0.2500 0.5000

The density of states at the Fermi level is 1.57 states/eV/f.u. The value obtained for the uncorrected formation energy is 0.47 eV per atom. The space-group type is No. 119. Its volume is 16.5 A^3/atom.

---

## Be3PtSe (PBE)

Data for a relaxed Be3PtSe crystal.

a = 4.3256 Å, b = 4.3256 Å, c = 4.3256 Å
α = 90.00°, β = 90.00°, γ = 90.00°
Fractional positions:
Be: 0.0000 0.5000 0.0000
Be: 0.0000 0.0000 0.5000
Be: 0.5000 0.0000 0.0000
Se: 0.5000 0.5000 0.5000
Pt: 0.0000 0.0000 0.0000

The density of states at the Fermi level is 1.56 states/eV/f.u. The value obtained for the uncorrected formation energy is 0.29 eV per atom. The value obtained for the energy above the most stable polymorph in this dataset is 0 meV/atom. The space-group type is No. 221. Its volume is 16.2 A^3/atom.

---

## BePtSe2 (PBE)

Data for a relaxed BePtSe2 crystal.

a = 7.7542 Å, b = 7.7542 Å, c = 7.7542 Å
α = 24.46°, β = 24.46°, γ = 24.46°
Fractional positions:
Be: 0.0000 0.0000 0.0000
Se: 0.6069 0.6069 0.6069
Se: 0.3931 0.3931 0.3931
Pt: 0.5000 0.5000 0.5000

The density of states at the Fermi level is 2.37 states/eV/f.u. The value obtained for the uncorrected formation energy is -0.06 eV per atom. The space-group type is No. 166. Its volume is 17.6 A^3/atom.

---

## BePtSe2 (PBE)

Data for a relaxed BePtSe2 crystal.

a = 4.5229 Å, b = 4.5229 Å, c = 4.5229 Å
α = 60.00°, β = 60.00°, γ = 60.00°
Fractional positions:
Be: 0.5000 0.5000 0.5000
Se: 0.0000 0.0000 0.0000
Se: 0.2500 0.2500 0.2500
Pt: 0.7500 0.7500 0.7500

The density of states at the Fermi level is 3.59 states/eV/f.u. The value obtained for the uncorrected formation energy is 0.54 eV per atom. The space-group type is No. 216. Its volume is 16.4 A^3/atom.

---

## BePtSe3 (PBE)

Data for a relaxed BePtSe3 crystal.

a = 4.4903 Å, b = 4.4903 Å, c = 4.4903 Å
α = 90.00°, β = 90.00°, γ = 90.00°
Fractional positions:
Be: 0.0000 0.0000 0.0000
Se: 0.0000 0.5000 0.0000
Se: 0.0000 0.0000 0.5000
Se: 0.5000 0.0000 0.0000
Pt: 0.5000 0.5000 0.5000

The density of states at the Fermi level is 4.90 states/eV/f.u. The value obtained for the uncorrected formation energy is 0.58 eV per atom. The value obtained for the energy above the most stable polymorph in this dataset is 0 meV/atom. The space-group type is No. 221. Its volume is 18.1 A^3/atom.